# 1
Density functional theory data (PBE) for a relaxed structure of TaTiCoCl2.

a = 4.479 Å, b = 4.838 Å, c = 4.479 Å
α = 90.00°, β = 90.00°, γ = 90.00°
Positions (direct):
Cl 0.500 0.000 0.000
Cl 0.000 0.000 0.500
Ta 0.500 0.500 0.500
Ti 0.000 0.000 0.000
Co 0.000 0.500 0.000

# 2
Density functional theory data (PBE) for a relaxed structure of Sr2CdCuSi.

a = 5.895 Å, b = 5.895 Å, c = 4.381 Å
α = 90.00°, β = 90.00°, γ = 90.00°
Positions (direct):
Si 0.000 0.000 0.500
Sr 0.000 0.500 0.000
Sr 0.500 0.000 0.000
Cu 0.000 0.000 0.000
Cd 0.500 0.500 0.500

The excess energy over the best structure of this formula in the dataset comes out at 0.000 eV/f.u.

Calculated raw formation energy, 0.7701; -0.1547 eV/atom (same order as the records).
Calculated E, -5.3393; -2.9143 eV per atom (same order as the records).
Calculated total magnetization, 1.578; 0.000 μB/f.u. (same order as the records).